No. 1
The following is a PBE calculation of an optimized crystal structure of TaZn, from Alexandria.

Cell and atoms, written as POSCAR:
```
TaZn
1.0
-1.707 3.207 -0.336
-1.753 -1.428 -4.729
-5.596 -2.676 2.883
Ta Zn
4 4
Cartesian
-4.848 -1.539 0.033
-7.474 -1.078 -2.038
-1.582 0.181 -0.145
-4.208 0.642 -2.216
-4.981 -1.884 -2.591
-1.791 -0.227 -2.976
-7.265 -0.670 0.794
-4.075 0.987 0.409
```

Results
crystal system: orthorhombic
Fermi-level density of states: 5.4 states/eV per cell
calculated volume: 131 Å³ per cell
formation energy: 0.20 eV/atom
uncorrected energy: -50.87 eV/cell
symmetry: Pnma (62)



No. 2
The following is a PBE calculation of an optimized crystal structure of Ta2Zn, from Alexandria.

Cell and atoms, written as POSCAR:
```
Ta2Zn
1.0
2.900 0.000 0.000
-1.450 2.512 0.000
0.000 0.000 7.244
Zn Ta
1 2
Cartesian
1.450 0.837 2.415
0.000 1.674 4.762
0.000 0.000 0.067
```

Results
crystal system: trigonal
Fermi-level density of states: 3.4 states/eV per cell
calculated volume: 53 Å³ per cell
formation energy: 0.17 eV/atom
uncorrected energy: -24.47 eV/cell
symmetry: P-3m1 (164)



No. 3
The following is a PBE calculation of an optimized crystal structure of TaZn, from Alexandria.

Cell and atoms, written as POSCAR:
```
TaZn
1.0
4.049 0.000 0.000
0.000 2.977 -0.330
0.000 -0.886 5.565
Zn Ta
2 2
Cartesian
3.037 0.075 0.682
1.012 2.016 4.553
3.037 0.391 3.467
1.012 1.700 1.768
```

Results
crystal system: orthorhombic
Fermi-level density of states: 3.1 states/eV per cell
calculated volume: 66 Å³ per cell
formation energy: 0.04 eV/atom
uncorrected energy: -26.11 eV/cell
symmetry: Cmcm (63)



No. 4
The following is a PBE calculation of an optimized crystal structure of TaZn, from Alexandria.

Cell and atoms, written as POSCAR:
```
TaZn
1.0
-4.010 -0.028 -1.846
0.560 -1.575 4.086
-0.921 4.678 1.929
Zn Ta
2 2
Cartesian
-3.177 2.965 1.578
-1.194 0.110 2.591
-1.654 2.450 3.556
-2.717 0.626 0.614
```

Results
crystal system: hexagonal
Fermi-level density of states: 5.8 states/eV per cell
calculated volume: 87 Å³ per cell
formation energy: 1.37 eV/atom
uncorrected energy: -20.79 eV/cell
symmetry: P6_3/mmc (194)



No. 5
The following is a PBE calculation of an optimized crystal structure of TaZn, from Alexandria.

Cell and atoms, written as POSCAR:
```
TaZn
1.0
-1.525 -2.634 -4.761
1.432 -3.196 -4.435
-1.294 -5.862 1.634
Ta Zn
3 3
Cartesian
-0.178 -5.993 -8.710
-0.342 -5.064 -5.619
-0.999 -7.936 -4.607
-1.137 -6.857 -1.497
-0.796 -8.855 -8.031
-0.570 -4.253 -2.155
```

Results
crystal system: monoclinic
Fermi-level density of states: 2.7 states/eV per cell
calculated volume: 98 Å³ per cell
formation energy: 0.09 eV/atom
uncorrected energy: -38.82 eV/cell
symmetry: Cm (8)



No. 6
The following is a PBE calculation of an optimized crystal structure of Ta3Zn, from Alexandria.

Cell and atoms, written as POSCAR:
```
Ta3Zn
1.0
2.812 0.003 0.000
-0.716 2.720 0.000
0.000 0.000 9.130
Ta Zn
3 1
Cartesian
1.048 1.362 6.847
0.000 0.000 0.060
0.000 0.000 4.505
1.048 1.362 2.282
```

Results
crystal system: orthorhombic
Fermi-level density of states: 3.6 states/eV per cell
calculated volume: 70 Å³ per cell
formation energy: 0.03 eV/atom
uncorrected energy: -36.72 eV/cell
symmetry: Cmmm (65)